1.
GGA-PBE CeHoScPb, optimized geometry; symmetry = No. 216; energy of formation = -0.06 eV/atom
1.0
0.000 3.745 3.745
3.745 0.000 3.745
3.745 3.745 0.000
Ce Ho Sc Pb
1 1 1 1
direct
0.000 0.000 0.000
0.250 0.250 0.250
0.750 0.750 0.750
0.500 0.500 0.500

---

2.
GGA-PBE PrOs2, optimized geometry; symmetry = No. 194; energy of formation = -0.05 eV/atom
1.0
5.374 0.000 0.000
-2.687 4.654 0.000
0.000 0.000 9.196
Pr Os
4 8
direct
0.333 0.667 0.064
0.333 0.667 0.436
0.667 0.333 0.564
0.667 0.333 0.936
0.000 0.000 0.000
0.000 0.000 0.500
0.169 0.338 0.750
0.169 0.831 0.750
0.338 0.169 0.250
0.662 0.831 0.750
0.831 0.169 0.250
0.831 0.662 0.250

---

3.
GGA-PBE VSiTc, optimized geometry; symmetry = No. 107; formation energy (no corrections) = -441 meV per atom
1.0
-1.527 1.527 4.260
1.527 -1.527 4.260
1.527 1.527 -4.260
V Si Tc
1 1 1
direct
0.000 0.000 0.000
0.670 0.670 0.000
0.337 0.337 0.000

---

4.
GGA-PBE ZnTc2Br, optimized geometry; symmetry = No. 35; formation energy (no corrections) = 535 meV per atom
1.0
1.511 -2.498 0.000
1.511 2.498 0.000
0.000 0.000 9.099
Zn Tc Br
1 2 1
direct
0.000 0.000 0.000
0.000 0.000 0.456
0.500 0.500 0.238
0.500 0.500 0.717

---

| no. | M_tot (μB per atom) |
| --- | --- |
| 1 | 0.46 |
| 2 | 0.00 |
| 3 | 0.00 |
| 4 | 0.00 |